[1]
Here is a relaxed structure of CaNiP from Alexandria via LeMat-Bulk. Energies are from GGA-PBE.

Total moment ... 0.00 μB per cell
Energy of formation ... -18.9 kcal/mol of atoms

abc: 10.4321 3.9663 5.8612
angles: 90.00 104.98 90.00
Space group Cm (No. 8)
Symmetry-distinct sites (fractional):
Ca: 0.0000 0.0000 0.0000 (multiplicity 2)
Ca: 0.1763 0.5000 0.5807 (multiplicity 2)
Ni: 0.2995 0.0000 0.2270 (multiplicity 2)
Ni: 0.4142 0.5000 0.4452 (multiplicity 2)
P: 0.2264 0.5000 0.1011 (multiplicity 2)
P: 0.4097 0.0000 0.6052 (multiplicity 2)



[2]
Here is a relaxed structure of CuBrO3 from Alexandria via LeMat-Bulk. Energies are from GGA-PBE.

Total moment ... 0.09 μB per cell
Formation energy from raw total energies ... 0.75 eV/atom

abc: 3.8774 3.8774 3.8774
angles: 90.00 90.00 90.00
Space group Pm-3m (No. 221)
Symmetry-distinct sites (fractional):
Cu: 0.0000 0.0000 0.0000 (multiplicity 1)
Br: 0.5000 0.5000 0.5000 (multiplicity 1)
O: 0.0000 0.5000 0.5000 (multiplicity 3)



[3]
Here is a relaxed structure of KRb2MoSe4 from Alexandria via LeMat-Bulk. Energies are from GGA-PBE.

Total moment ... 2.03 μB per cell
Formation energy from raw total energies ... -0.84 eV/atom

abc: 8.5191 8.5191 8.7297
angles: 90.00 90.00 90.00
Space group I-4 (No. 82)
Symmetry-distinct sites (fractional):
K: 0.0000 0.0000 0.0000 (multiplicity 2)
Rb: 0.0000 0.0000 0.5000 (multiplicity 2)
Rb: 0.0000 0.5000 0.2500 (multiplicity 2)
Mo: 0.0000 0.5000 0.7500 (multiplicity 2)
Se: 0.1566 0.6703 0.9034 (multiplicity 8)



[4]
Here is a relaxed structure of LaNi2W from Alexandria via LeMat-Bulk. Energies are from GGA-PBE.

Offset from the most stable computed form ... 422 meV/atom
Total moment ... 0.00 μB per cell
Energy of formation ... 9.1 kcal/mol of atoms

abc: 2.8657 4.6641 9.9658
angles: 90.00 90.00 90.00
Space group Imm2 (No. 44)
Symmetry-distinct sites (fractional):
La: 0.0000 0.0000 0.0000 (multiplicity 2)
Ni: 0.0000 0.0000 0.4842 (multiplicity 2)
Ni: 0.0000 0.5000 0.7717 (multiplicity 2)
W: 0.0000 0.5000 0.2144 (multiplicity 2)



[5]
Here is a relaxed structure of Pr3Cu3Rh from Alexandria via LeMat-Bulk. Energies are from GGA-PBE.

Total moment ... 0.00 μB per cell
Energy of formation ... -6.3 kcal/mol of atoms

abc: 4.6655 10.2011 12.7781
angles: 90.00 90.00 90.00
Space group Cmcm (No. 63)
Symmetry-distinct sites (fractional):
Pr: 0.0000 0.0261 0.2500 (multiplicity 4)
Pr: 0.0000 0.2624 0.5989 (multiplicity 8)
Cu: 0.0000 0.3171 0.2500 (multiplicity 4)
Cu: 0.0000 0.4447 0.0876 (multiplicity 8)
Rh: 0.0000 0.0000 0.0000 (multiplicity 4)



[6]
Here is a relaxed structure of ZrCr2PtCl from Alexandria via LeMat-Bulk. Energies are from GGA-PBE.

Total moment ... 0.01 μB per cell
Formation energy from raw total energies ... 0.42 eV/atom

abc: 4.1294 4.1294 4.7526
angles: 90.00 90.00 90.00
Space group P4/mmm (No. 123)
Symmetry-distinct sites (fractional):
Zr: 0.0000 0.0000 0.0000 (multiplicity 1)
Cr: 0.0000 0.5000 0.5000 (multiplicity 2)
Pt: 0.5000 0.5000 0.0000 (multiplicity 1)
Cl: 0.0000 0.0000 0.5000 (multiplicity 1)



[7]
Here is a relaxed structure of LaPuAl2 from Alexandria via LeMat-Bulk. Energies are from GGA-PBE.

Offset from the most stable computed form ... 263 meV/atom
Total moment ... 17.06 μB per cell
Energy of formation ... 1.3 kcal/mol of atoms

abc: 3.4182 3.4182 30.3449
angles: 90.00 90.00 120.00
Space group R-3m (No. 166, hexagonal axes)
Symmetry-distinct sites (fractional):
La: 0.0000 0.0000 0.0000 (multiplicity 3)
Pu: 0.0000 0.0000 0.5000 (multiplicity 3)
Al: 0.0000 0.0000 0.2472 (multiplicity 6)



[8]
Here is a relaxed structure of BaSr2In6 from Alexandria via LeMat-Bulk. Energies are from GGA-PBE.

Offset from the most stable computed form ... 62 meV/atom
Total moment ... 0.00 μB per cell
Energy of formation ... -7.7 kcal/mol of atoms

abc: 4.6094 8.6536 15.2487
angles: 90.00 90.00 90.00
Space group Immm (No. 71)
Symmetry-distinct sites (fractional):
Ba: 0.0000 0.0000 0.0000 (multiplicity 2)
Sr: 0.0000 0.5000 0.1307 (multiplicity 4)
In: 0.0000 0.1783 0.5000 (multiplicity 4)
In: 0.0000 0.3131 0.3169 (multiplicity 8)



[9]
Here is a relaxed structure of Co2HgHRh from Alexandria via LeMat-Bulk. Energies are from GGA-PBE.

Total moment ... 3.74 μB per cell
Final energy ... -4.831 eV/atom

abc: 3.9114 3.9114 3.8664
angles: 90.00 90.00 90.00
Space group P4/mmm (No. 123)
Symmetry-distinct sites (fractional):
Co: 0.0000 0.5000 0.0000 (multiplicity 2)
Hg: 0.0000 0.0000 0.5000 (multiplicity 1)
H: 0.5000 0.5000 0.0000 (multiplicity 1)
Rh: 0.5000 0.5000 0.5000 (multiplicity 1)



[10]
Here is a relaxed structure of Ac3Er2Pb3 from Alexandria via LeMat-Bulk. Energies are from GGA-PBE.

Offset from the most stable computed form ... 0 meV/atom
Total moment ... 0.00 μB per cell
Energy of formation ... -10.9 kcal/mol of atoms

abc: 9.6664 9.6664 6.8977
angles: 90.00 90.00 120.00
Space group P6_3/mcm (No. 193)
Symmetry-distinct sites (fractional):
Ac: 0.0000 0.2457 0.2500 (multiplicity 6)
Er: 0.3333 0.6667 0.0000 (multiplicity 4)
Pb: 0.0000 0.4011 0.7500 (multiplicity 6)



[11]
Here is a relaxed structure of AcGdTmSn from Alexandria via LeMat-Bulk. Energies are from GGA-PBE.

Total moment ... 32.26 μB per cell
Energy of formation ... -3.7 kcal/mol of atoms

abc: 7.8614 7.8614 7.8614
angles: 90.00 90.00 90.00
Space group F-43m (No. 216)
Symmetry-distinct sites (fractional):
Ac: 0.0000 0.0000 0.0000 (multiplicity 4)
Gd: 0.2500 0.2500 0.7500 (multiplicity 4)
Tm: 0.2500 0.2500 0.2500 (multiplicity 4)
Sn: 0.0000 0.0000 0.5000 (multiplicity 4)



[12]
Here is a relaxed structure of K4YTc from Alexandria via LeMat-Bulk. Energies are from GGA-PBE.

Total moment ... 7.14 μB per cell
Energy of formation ... 28.7 kcal/mol of atoms

abc: 10.0330 10.0330 10.0330
angles: 90.00 90.00 90.00
Space group F-43m (No. 216)
Symmetry-distinct sites (fractional):
K: 0.1234 0.1234 0.1234 (multiplicity 16)
Y: 0.0000 0.0000 0.5000 (multiplicity 4)
Tc: 0.2500 0.2500 0.7500 (multiplicity 4)



[13]
Here is a relaxed structure of KZrGa2Os from Alexandria via LeMat-Bulk. Energies are from GGA-PBE.

Total moment ... 0.00 μB per cell
Energy of formation ... 24.6 kcal/mol of atoms

abc: 4.8204 4.8204 5.3029
angles: 90.00 90.00 90.00
Space group P4/mmm (No. 123)
Symmetry-distinct sites (fractional):
K: 0.0000 0.0000 0.0000 (multiplicity 1)
Zr: 0.5000 0.5000 0.0000 (multiplicity 1)
Ga: 0.0000 0.5000 0.5000 (multiplicity 2)
Os: 0.0000 0.0000 0.5000 (multiplicity 1)



[14]
Here is a relaxed structure of NaPbSeO5 from Alexandria via LeMat-Bulk. Energies are from GGA-PBE.

Total moment ... 0.00 μB per cell
Formation energy from raw total energies ... -1.01 eV/atom

abc: 7.8812 9.5345 7.9134
angles: 90.00 114.17 90.00
Space group C2/c (No. 15)
Symmetry-distinct sites (fractional):
Na: 0.0000 0.1760 0.2500 (multiplicity 4)
Pb: 0.0000 0.5000 0.0000 (multiplicity 4)
Se: 0.0000 0.1568 0.7500 (multiplicity 4)
O: 0.0000 0.4182 0.2500 (multiplicity 4)
O: 0.0923 0.2571 0.6335 (multiplicity 8)
O: 0.1598 0.0491 0.9011 (multiplicity 8)



[15]
Here is a relaxed structure of FeRh2Br from Alexandria via LeMat-Bulk. Energies are from GGA-PBE.

Offset from the most stable computed form ... 338 meV/atom
Total moment ... 9.76 μB per cell
Formation energy from raw total energies ... 0.63 eV/atom

abc: 3.7887 3.7887 8.7117
angles: 90.00 90.00 90.00
Space group I-4m2 (No. 119)
Symmetry-distinct sites (fractional):
Fe: 0.0000 0.0000 0.0000 (multiplicity 2)
Rh: 0.0000 0.0000 0.5000 (multiplicity 2)
Rh: 0.0000 0.5000 0.7500 (multiplicity 2)
Br: 0.0000 0.5000 0.2500 (multiplicity 2)



[16]
Here is a relaxed structure of Li2InOs from Alexandria via LeMat-Bulk. Energies are from GGA-PBE.

Total moment ... 0.29 μB per cell
Energy of formation ... 3.1 kcal/mol of atoms

abc: 9.6196 2.8939 4.7186
angles: 90.00 102.41 90.00
Space group C2/m (No. 12)
Symmetry-distinct sites (fractional):
Li: 0.2420 0.0000 0.2174 (multiplicity 4)
In: 0.0000 0.0000 0.5000 (multiplicity 2)
Os: 0.0000 0.5000 0.0000 (multiplicity 2)



[17]
Here is a relaxed structure of TaNb2CoH from Alexandria via LeMat-Bulk. Energies are from GGA-PBE.

Offset from the most stable computed form ... 154 meV/atom
Total moment ... 0.00 μB per cell

abc: 3.9551 3.9551 4.3821
angles: 90.00 90.00 90.00
Space group P4/mmm (No. 123)
Symmetry-distinct sites (fractional):
Ta: 0.0000 0.0000 0.0000 (multiplicity 1)
Nb: 0.0000 0.5000 0.5000 (multiplicity 2)
Co: 0.5000 0.5000 0.0000 (multiplicity 1)
H: 0.0000 0.0000 0.5000 (multiplicity 1)



[18]
Here is a relaxed structure of SbCSCl2 from Alexandria via LeMat-Bulk. Energies are from GGA-PBE.

Offset from the most stable computed form ... 328 meV/atom
Total moment ... 1.36 μB per cell
Formation energy from raw total energies ... 1.28 eV/atom

abc: 5.2005 5.2005 5.1735
angles: 90.00 90.00 90.00
Space group P4/mmm (No. 123)
Symmetry-distinct sites (fractional):
Sb: 0.0000 0.0000 0.0000 (multiplicity 1)
C: 0.5000 0.5000 0.5000 (multiplicity 1)
S: 0.0000 0.0000 0.5000 (multiplicity 1)
Cl: 0.0000 0.5000 0.0000 (multiplicity 2)



[19]
Here is a relaxed structure of Zr3Ta5Ti12 from Alexandria via LeMat-Bulk. Energies are from GGA-PBE.

Total moment ... 0.01 μB per cell
Energy of formation ... 33.8 kcal/mol of atoms

abc: 15.3000 15.3000 15.3000
angles: 90.00 90.00 90.00
Space group Ia-3d (No. 230)
Symmetry-distinct sites (fractional):
Zr: 0.0000 0.2500 0.1250 (multiplicity 24)
Ta: 0.0000 0.0000 0.0000 (multiplicity 16)
Ta: 0.0000 0.2500 0.3750 (multiplicity 24)
Ti: 0.0290 0.0800 0.6420 (multiplicity 96)



[20]
Here is a relaxed structure of ScSi2Tc from Alexandria via LeMat-Bulk. Energies are from GGA-PBE.

Offset from the most stable computed form ... 395 meV/atom
Total moment ... 0.00 μB per cell
Formation energy from raw total energies ... -0.31 eV/atom

abc: 3.8871 3.8871 3.9444
angles: 90.00 90.00 90.00
Space group P4/mmm (No. 123)
Symmetry-distinct sites (fractional):
Sc: 0.0000 0.0000 0.0000 (multiplicity 1)
Si: 0.0000 0.5000 0.5000 (multiplicity 2)
Tc: 0.5000 0.5000 0.0000 (multiplicity 1)